1.
Below is crystalline MnCu2Cl5 at its relaxed geometry, with properties calculated at the GGA-PBE level.

```
8
Lattice="5.3818 -3.6441 0.0000 5.3818 3.6441 0.0000 -2.9296 0.0000 5.5532" Properties=species:S:1:pos:R:3 pbc="T T T"
Mn 0.0000 0.0000 0.0000
Cu 2.3704 1.9396 2.8740
Cu 2.3704 -1.9396 2.8740
Cl 1.8531 0.0000 1.8429
Cl 3.4155 1.6540 4.8628
Cl 6.3014 0.0000 3.5723
Cl 3.4155 -1.6540 4.8628
Cl 9.0270 0.0000 1.6029
```

Properties
The formation energy from raw total energies comes out at -15.577 kcal/mol of atoms. The value obtained for the density of states at the Fermi level is 0.70 states/eV per atom. As for the space group: Cm, No. 8.

2.
Below is crystalline Mn3CuCl at its relaxed geometry, with properties calculated at the GGA-PBE level.

```
5
Lattice="4.7196 0.0000 0.0000 0.0000 4.7196 0.0000 0.0000 0.0000 4.7196" Properties=species:S:1:pos:R:3 pbc="T T T"
Mn 0.0000 0.0000 2.3598
Mn 0.0000 2.3598 0.0000
Mn 2.3598 0.0000 0.0000
Cu 0.0000 0.0000 0.0000
Cl 2.3598 2.3598 2.3598
```

Properties
The formation energy from raw total energies comes out at 17.325 kcal/mol of atoms. The value obtained for the density of states at the Fermi level is 0.42 states/eV per atom. As for the space group: Pm-3m, No. 221. For the energy above the most stable polymorph in this dataset, the calculation gives 0 meV per atom.

3.
Below is crystalline Mn2CuCl6 at its relaxed geometry, with properties calculated at the GGA-PBE level.

```
18
Lattice="5.8481 -7.3585 0.0000 5.8481 7.3585 0.0000 -3.3288 0.0000 5.7168" Properties=species:S:1:pos:R:3 pbc="T T T"
Mn 1.4316 1.3270 0.3336
Mn -0.2328 -1.3270 3.1920
Mn 8.6002 1.3270 2.5248
Mn 6.9359 -1.3270 5.3832
Cu 5.0159 2.6066 1.4292
Cu 3.3515 -2.6066 4.2876
Cl -0.8491 1.0139 3.8004
Cl 1.5522 3.7960 5.1882
Cl 0.8153 -1.0139 0.9420
Cl 3.2134 1.2294 1.7642
Cl 5.1508 3.7960 3.3870
Cl 1.5490 -1.2294 4.6226
Cl 6.8185 1.2294 1.0942
Cl 3.2166 -3.7960 2.3298
Cl 5.1541 -1.2294 3.9527
Cl 7.5521 1.0139 4.7748
Cl 6.8152 -3.7960 0.5286
Cl 9.2165 -1.0139 1.9164
```

Properties
The formation energy from raw total energies comes out at -19.761 kcal/mol of atoms. The value obtained for the density of states at the Fermi level is 0.36 states/eV per atom. As for the space group: C2/c, No. 15. For the energy above the most stable polymorph in this dataset, the calculation gives 10 meV per atom.

4.
Below is crystalline MnCu2Cl8 at its relaxed geometry, with properties calculated at the GGA-PBE level.

```
11
Lattice="6.2080 -4.1555 0.0000 6.2080 4.1555 0.0000 -0.7967 0.0000 5.8440" Properties=species:S:1:pos:R:3 pbc="T T T"
Mn 0.0000 0.0000 0.0000
Cu 1.7653 0.0000 3.8697
Cu 9.8540 0.0000 1.9744
Cl 5.0977 2.5499 1.1981
Cl 1.7429 0.0000 1.5210
Cl 6.5215 2.5499 4.6460
Cl 3.8799 0.0000 4.1163
Cl 7.7394 0.0000 1.7278
Cl 5.0977 -2.5499 1.1981
Cl 9.8764 0.0000 4.3230
Cl 6.5215 -2.5499 4.6460
```

Properties
The formation energy from raw total energies comes out at -12.497 kcal/mol of atoms. The value obtained for the density of states at the Fermi level is 0.76 states/eV per atom. As for the space group: C2/m, No. 12.

5.
Below is crystalline Mn2CuCl at its relaxed geometry, with properties calculated at the GGA-PBE level.

```
4
Lattice="0.0000 2.8782 2.8782 2.8782 0.0000 2.8782 2.8782 2.8782 0.0000" Properties=species:S:1:pos:R:3 pbc="T T T"
Mn 1.4391 1.4391 1.4391
Mn 4.3173 4.3173 4.3173
Cu 0.0000 0.0000 0.0000
Cl 2.8782 2.8782 2.8782
```

Properties
The formation energy from raw total energies comes out at 23.013 kcal/mol of atoms. The value obtained for the density of states at the Fermi level is 2.21 states/eV per atom. As for the space group: Fm-3m, No. 225. For the energy above the most stable polymorph in this dataset, the calculation gives 917 meV per atom.

6.
Below is crystalline Mn2CuCl6 at its relaxed geometry, with properties calculated at the GGA-PBE level.

```
18
Lattice="6.7667 -6.6852 0.0000 6.7667 6.6852 0.0000 -2.8309 0.0000 5.8740" Properties=species:S:1:pos:R:3 pbc="T T T"
Mn 1.9210 1.1988 1.9898
Mn 0.5056 -1.1988 4.9268
Mn 10.1969 1.1988 0.9472
Mn 8.7814 -1.1988 3.8842
Cu 4.6435 2.6354 4.4055
Cu 6.0590 -2.6354 1.4685
Cl 0.3495 0.8332 3.7235
Cl 2.6956 3.6307 5.0647
Cl 1.7649 -0.8332 0.7865
Cl 4.1413 1.5178 2.4667
Cl 6.5914 3.6307 3.7463
Cl 7.9766 1.5178 0.4703
Cl 2.7258 -1.5178 5.4037
Cl 4.1111 -3.6307 2.1277
Cl 6.5612 -1.5178 3.4073
Cl 8.9376 0.8332 5.0875
Cl 8.0069 -3.6307 0.8093
Cl 10.3530 -0.8332 2.1505
```

Properties
The formation energy from raw total energies comes out at -19.986 kcal/mol of atoms. The value obtained for the density of states at the Fermi level is 0.54 states/eV per atom. As for the space group: C2/c, No. 15. For the energy above the most stable polymorph in this dataset, the calculation gives 0 meV per atom.

7.
Below is crystalline Mn2CuCl at its relaxed geometry, with properties calculated at the GGA-PBE level.

```
4
Lattice="0.0000 3.1388 3.1388 3.1388 0.0000 3.1388 3.1388 3.1388 0.0000" Properties=species:S:1:pos:R:3 pbc="T T T"
Mn 0.0000 0.0000 0.0000
Mn 1.5694 1.5694 1.5694
Cu 3.1388 3.1388 3.1388
Cl 4.7082 4.7082 4.7082
```

Properties
The formation energy from raw total energies comes out at 13.892 kcal/mol of atoms. The value obtained for the density of states at the Fermi level is 0.69 states/eV per atom. As for the space group: F-43m, No. 216. For the energy above the most stable polymorph in this dataset, the calculation gives 522 meV per atom.

8.
Below is crystalline Mn2CuCl at its relaxed geometry, with properties calculated at the GGA-PBE level.

```
4
Lattice="1.6002 0.9239 7.4458 -1.6002 0.9239 7.4458 0.0000 -1.8478 7.4458" Properties=species:S:1:pos:R:3 pbc="T T T"
Mn 0.0000 0.0000 5.4642
Mn 0.0000 0.0000 16.8733
Cu 0.0000 0.0000 11.1687
Cl 0.0000 0.0000 0.0000
```

Properties
The formation energy from raw total energies comes out at 4.025 kcal/mol of atoms. The value obtained for the density of states at the Fermi level is 0.41 states/eV per atom. As for the space group: R-3m, No. 166. For the energy above the most stable polymorph in this dataset, the calculation gives 94 meV per atom.

9.
Below is crystalline MnCu2Cl2 at its relaxed geometry, with properties calculated at the GGA-PBE level.

```
5
Lattice="-2.1250 2.1250 5.0808 2.1250 -2.1250 5.0808 2.1250 2.1250 -5.0808" Properties=species:S:1:pos:R:3 pbc="T T T"
Mn 0.0000 0.0000 0.0000
Cu 0.0000 0.0000 3.9164
Cu 0.0000 0.0000 6.2452
Cl 2.1250 0.0000 2.5404
Cl 0.0000 2.1250 2.5404
```

Properties
The formation energy from raw total energies comes out at 6.055 kcal/mol of atoms. The value obtained for the density of states at the Fermi level is 0.00 states/eV per atom. As for the space group: I4/mmm, No. 139. For the energy above the most stable polymorph in this dataset, the calculation gives 34 meV per atom.

10.
Below is crystalline Mn2CuCl at its relaxed geometry, with properties calculated at the GGA-PBE level.

```
4
Lattice="4.6337 0.0000 0.0000 0.0000 4.6337 0.0000 0.0000 0.0000 2.9350" Properties=species:S:1:pos:R:3 pbc="T T T"
Mn 0.0000 2.3169 0.0000
Mn 2.3169 0.0000 0.0000
Cu 0.0000 0.0000 1.4675
Cl 2.3169 2.3169 1.4675
```

Properties
The formation energy from raw total energies comes out at 8.691 kcal/mol of atoms. The value obtained for the density of states at the Fermi level is 0.53 states/eV per atom. As for the space group: P4/mmm, No. 123. For the energy above the most stable polymorph in this dataset, the calculation gives 296 meV per atom.

11.
Below is crystalline MnCu3Cl at its relaxed geometry, with properties calculated at the GGA-PBE level.

```
5
Lattice="4.4775 0.0000 0.0000 0.0000 4.4775 0.0000 0.0000 0.0000 4.4775" Properties=species:S:1:pos:R:3 pbc="T T T"
Mn 0.0000 0.0000 0.0000
Cu 0.0000 2.2388 2.2388
Cu 2.2388 0.0000 2.2388
Cu 2.2388 2.2388 0.0000
Cl 2.2388 2.2388 2.2388
```

Properties
The formation energy from raw total energies comes out at 22.136 kcal/mol of atoms. The value obtained for the density of states at the Fermi level is 0.56 states/eV per atom. As for the space group: Pm-3m, No. 221. For the energy above the most stable polymorph in this dataset, the calculation gives 0 meV per atom.

12.
Below is crystalline MnCu2Cl2 at its relaxed geometry, with properties calculated at the GGA-PBE level.

```
10
Lattice="6.7411 0.0000 0.0000 0.0000 6.7411 0.0000 0.0000 0.0000 4.4419" Properties=species:S:1:pos:R:3 pbc="T T T"
Mn 0.0000 0.0000 0.0000
Mn 3.3706 3.3706 0.0000
Cu 0.9540 2.4166 0.0000
Cu 2.4166 5.7871 0.0000
Cu 4.3246 0.9540 0.0000
Cu 5.7871 4.3246 0.0000
Cl 1.2278 2.1428 2.2209
Cl 2.1428 5.5134 2.2209
Cl 4.5983 1.2278 2.2209
Cl 5.5134 4.5983 2.2209
```

Properties
The formation energy from raw total energies comes out at 5.275 kcal/mol of atoms. The value obtained for the density of states at the Fermi level is 0.45 states/eV per atom. As for the space group: P4/mbm, No. 127. For the energy above the most stable polymorph in this dataset, the calculation gives 0 meV per atom.

13.
Below is crystalline Mn3CuCl at its relaxed geometry, with properties calculated at the GGA-PBE level.

```
5
Lattice="4.2432 0.0000 0.0000 0.0000 4.2432 0.0000 0.0000 0.0000 4.2432" Properties=species:S:1:pos:R:3 pbc="T T T"
Mn 0.0000 0.0000 2.1216
Mn 0.0000 2.1216 0.0000
Mn 2.1216 0.0000 0.0000
Cu 2.1216 2.1216 2.1216
Cl 0.0000 0.0000 0.0000
```

Properties
The formation energy from raw total energies comes out at 17.980 kcal/mol of atoms. The value obtained for the density of states at the Fermi level is 0.85 states/eV per atom. As for the space group: Pm-3m, No. 221. For the energy above the most stable polymorph in this dataset, the calculation gives 28 meV per atom.

14.
Below is crystalline Mn2CuCl8 at its relaxed geometry, with properties calculated at the GGA-PBE level.

```
11
Lattice="10.1435 -1.6015 0.0000 10.1435 1.6015 0.0000 -1.6640 0.0000 9.3477" Properties=species:S:1:pos:R:3 pbc="T T T"
Mn 3.1458 0.0000 2.0797
Mn 15.4771 0.0000 7.2680
Cu 9.3115 0.0000 4.6739
Cl -0.3972 0.0000 6.1922
Cl 3.5369 0.0000 7.4545
Cl 6.0543 0.0000 5.5655
Cl 6.4389 0.0000 8.6999
Cl 12.1840 0.0000 0.6478
Cl 12.5686 0.0000 3.7822
Cl 15.0860 0.0000 1.8932
Cl 19.0201 0.0000 3.1555
```

Properties
The formation energy from raw total energies comes out at -16.650 kcal/mol of atoms. The value obtained for the density of states at the Fermi level is 0.69 states/eV per atom. As for the space group: C2/m, No. 12. For the energy above the most stable polymorph in this dataset, the calculation gives 5 meV per atom.

15.
Below is crystalline Mn2CuCl at its relaxed geometry, with properties calculated at the GGA-PBE level.

```
4
Lattice="3.8471 -1.5388 0.0000 3.8471 1.5388 0.0000 -3.4912 0.0000 6.3691" Properties=species:S:1:pos:R:3 pbc="T T T"
Mn -0.1098 0.0000 2.0380
Mn 4.3128 0.0000 4.3311
Cu 2.1015 0.0000 3.1846
Cl 3.8471 0.0000 0.0000
```

Properties
The formation energy from raw total energies comes out at 3.309 kcal/mol of atoms. The value obtained for the density of states at the Fermi level is 0.32 states/eV per atom. As for the space group: C2/m, No. 12. For the energy above the most stable polymorph in this dataset, the calculation gives 63 meV per atom.

16.
Below is crystalline Mn2CuCl at its relaxed geometry, with properties calculated at the GGA-PBE level.

```
4
Lattice="2.9732 0.0000 0.0000 0.0000 4.5619 0.0000 -0.0175 0.0000 4.7864" Properties=species:S:1:pos:R:3 pbc="T T T"
Mn 0.0000 0.0000 0.0000
Mn -0.0049 2.2809 1.8874
Cu 1.4834 0.0000 2.1036
Cl 2.9508 2.2809 4.2565
```

Properties
The formation energy from raw total energies comes out at 6.872 kcal/mol of atoms. The value obtained for the density of states at the Fermi level is 0.51 states/eV per atom. As for the space group: Pm, No. 6. For the energy above the most stable polymorph in this dataset, the calculation gives 217 meV per atom.

17.
Below is crystalline Mn2CuCl at its relaxed geometry, with properties calculated at the GGA-PBE level.

```
4
Lattice="7.0829 -1.5362 0.0000 7.0829 1.5362 0.0000 -0.6580 0.0000 3.0019" Properties=species:S:1:pos:R:3 pbc="T T T"
Mn 0.0000 0.0000 0.0000
Mn 8.3843 0.0000 1.8586
Cu 2.9418 0.0000 0.6449
Cl 5.2463 0.0000 1.1660
```

Properties
The formation energy from raw total energies comes out at 3.255 kcal/mol of atoms. The value obtained for the density of states at the Fermi level is 0.35 states/eV per atom. As for the space group: Cm, No. 8. For the energy above the most stable polymorph in this dataset, the calculation gives 60 meV per atom.

18.
Below is crystalline Mn2CuCl5 at its relaxed geometry, with properties calculated at the GGA-PBE level.

```
8
Lattice="5.0006 -3.9096 0.0000 5.0006 3.9096 0.0000 -2.9637 0.0000 5.5610" Properties=species:S:1:pos:R:3 pbc="T T T"
Mn 5.0006 2.1558 0.0000
Mn 5.0006 -2.1558 0.0000
Cu 7.5953 0.0000 1.6052
Cl 2.4968 1.8824 0.5653
Cl -0.0070 0.0000 1.7597
Cl 2.1295 0.0000 4.5230
Cl 2.4968 -1.8824 0.5653
Cl 6.8224 0.0000 3.8295
```

Properties
The formation energy from raw total energies comes out at -19.028 kcal/mol of atoms. As for the space group: Cm, No. 8.

19.
Below is crystalline Mn2CuCl at its relaxed geometry, with properties calculated at the GGA-PBE level.

```
4
Lattice="3.0447 0.0000 0.0000 0.0000 3.1684 0.0000 0.0000 0.0000 6.9056" Properties=species:S:1:pos:R:3 pbc="T T T"
Mn 0.0000 0.0000 1.4156
Mn 0.0000 0.0000 5.4900
Cu 1.5223 1.5842 0.0000
Cl 1.5223 0.0000 3.4528
```

Properties
The formation energy from raw total energies comes out at 1.863 kcal/mol of atoms. The value obtained for the density of states at the Fermi level is 0.56 states/eV per atom. As for the space group: Pmmm, No. 47. For the energy above the most stable polymorph in this dataset, the calculation gives 0 meV per atom.

20.
Below is crystalline Mn2CuCl at its relaxed geometry, with properties calculated at the GGA-PBE level.

```
4
Lattice="-1.5458 2.6203 4.0697 1.5458 -2.6203 4.0697 1.5458 2.6203 -4.0697" Properties=species:S:1:pos:R:3 pbc="T T T"
Mn 0.0000 0.0000 1.9764
Mn 0.0000 0.0000 6.1629
Cu 0.0000 2.6203 0.0000
Cl 1.5458 0.0000 0.0000
```

Properties
The formation energy from raw total energies comes out at 9.377 kcal/mol of atoms. The value obtained for the density of states at the Fermi level is 0.66 states/eV per atom. As for the space group: Immm, No. 71. For the energy above the most stable polymorph in this dataset, the calculation gives 326 meV per atom.